1.
A plane-wave DFT calculation with PBE-GGA was carried out for crystalline Lu2Pd at its relaxed geometry.

## Properties
- VASP energy: -0.32295 Ry/atom
- Symmetry: Fd-3m, No. 227

The structure in CIF format:
```
data_Lu2Pd
_chemical_formula_sum 'Lu4 Pd2'
_space_group_name_H-M_alt 'P 1'
_space_group_IT_number 1
_cell_length_a 5.860
_cell_length_b 5.860
_cell_length_c 5.860
_cell_angle_alpha 60.00
_cell_angle_beta 60.00
_cell_angle_gamma 60.00
loop_
_space_group_symop_operation_xyz
'x,y,z'
loop_
_atom_site_label
_atom_site_type_symbol
_atom_site_fract_x
_atom_site_fract_y
_atom_site_fract_z
_atom_site_occupancy
Lu1 Lu 0.625 0.625 0.125 1
Lu2 Lu 0.625 0.125 0.625 1
Lu3 Lu 0.125 0.625 0.625 1
Lu4 Lu 0.625 0.625 0.625 1
Pd1 Pd 0.000 0.000 0.000 1
Pd2 Pd 0.250 0.250 0.250 1
```

2.
A plane-wave DFT calculation with PBE-GGA was carried out for crystalline Lu2Pd at its relaxed geometry.

## Properties
- VASP energy: -0.39451 Ry/atom
- Symmetry: P-62m, No. 189

The structure in CIF format:
```
data_Lu2Pd
_chemical_formula_sum 'Lu6 Pd3'
_space_group_name_H-M_alt 'P 1'
_space_group_IT_number 1
_cell_length_a 7.326
_cell_length_b 7.326
_cell_length_c 4.553
_cell_angle_alpha 90.00
_cell_angle_beta 90.00
_cell_angle_gamma 120.00
loop_
_space_group_symop_operation_xyz
'x,y,z'
loop_
_atom_site_label
_atom_site_type_symbol
_atom_site_fract_x
_atom_site_fract_y
_atom_site_fract_z
_atom_site_occupancy
Lu1 Lu 0.740 0.000 0.000 1
Lu2 Lu 0.260 0.260 0.000 1
Lu3 Lu 0.000 0.740 0.000 1
Lu4 Lu 0.409 0.000 0.500 1
Lu5 Lu 0.000 0.409 0.500 1
Lu6 Lu 0.591 0.591 0.500 1
Pd1 Pd 0.667 0.333 0.000 1
Pd2 Pd 0.333 0.667 0.000 1
Pd3 Pd 0.000 0.000 0.500 1
```

Number 1: ΔH_f (0 K) 33.5 kJ/mol of atoms. Number 2: ΔH_f (0 K) -60.5 kJ/mol of atoms.